Density functional theory data (PBE+U) for a relaxed structure of KCaNi2H3Se2O10.

Lattice parameters (Å, degrees): 5.439 5.552 10.177 85.42 81.39 66.88
Space group P1 (No. 1)
Inequivalent atoms, fractional coordinates:
K1 0.000 0.000 0.000 (multiplicity 1)
Ca1 0.601 0.640 0.586 (multiplicity 1)
Ni1 0.104 0.590 0.397 (multiplicity 1)
Ni2 0.554 0.132 0.399 (multiplicity 1)
H1 0.116 0.155 0.310 (multiplicity 1)
H2 0.787 0.103 0.668 (multiplicity 1)
H3 0.982 0.023 0.486 (multiplicity 1)
Se1 0.374 0.359 0.809 (multiplicity 1)
Se2 0.614 0.598 0.210 (multiplicity 1)
O1 0.164 0.205 0.390 (multiplicity 1)
O2 0.273 0.727 0.230 (multiplicity 1)
O3 0.323 0.684 0.786 (multiplicity 1)
O4 0.398 0.448 0.502 (multiplicity 1)
O5 0.408 0.278 0.968 (multiplicity 1)
O6 0.713 0.732 0.331 (multiplicity 1)
O7 0.734 0.269 0.236 (multiplicity 1)
O8 0.739 0.664 0.062 (multiplicity 1)
O9 0.748 0.250 0.729 (multiplicity 1)
O10 0.864 0.921 0.510 (multiplicity 1)

Output
Energy above the lowest structure with this stoichiometry = 0.046 eV per atom
Uncorrected energy = -5.09 eV per atom

Density functional theory data (PBE+U) for a relaxed structure of KCaNi2H3Se2O10.

Lattice parameters (Å, degrees): 6.171 6.908 7.240 67.67 82.13 65.50
Space group P1 (No. 1)
Inequivalent atoms, fractional coordinates:
K1 0.000 0.000 0.000 (multiplicity 1)
Ca1 0.565 0.338 0.618 (multiplicity 1)
Ni1 0.029 0.964 0.527 (multiplicity 1)
Ni2 0.943 0.522 0.463 (multiplicity 1)
H1 0.103 0.582 0.701 (multiplicity 1)
H2 0.487 0.793 0.319 (multiplicity 1)
H3 0.596 0.656 0.175 (multiplicity 1)
Se1 0.325 0.265 0.190 (multiplicity 1)
Se2 0.555 0.808 0.740 (multiplicity 1)
O1 0.104 0.508 0.198 (multiplicity 1)
O2 0.156 0.633 0.563 (multiplicity 1)
O3 0.232 0.043 0.279 (multiplicity 1)
O4 0.396 0.287 0.955 (multiplicity 1)
O5 0.470 0.730 0.979 (multiplicity 1)
O6 0.558 0.194 0.331 (multiplicity 1)
O7 0.617 0.647 0.318 (multiplicity 1)
O8 0.740 0.549 0.714 (multiplicity 1)
O9 0.761 0.923 0.740 (multiplicity 1)
O10 0.968 0.213 0.592 (multiplicity 1)

Output
Energy above the lowest structure with this stoichiometry = 0.000 eV per atom
Uncorrected energy = -5.14 eV per atom

Density functional theory data (PBE+U) for a relaxed structure of KCaNi2H3Se2O10.

Lattice parameters (Å, degrees): 5.517 6.664 8.350 100.91 94.88 111.95
Space group P1 (No. 1)
Inequivalent atoms, fractional coordinates:
K1 0.000 0.000 0.000 (multiplicity 1)
Ca1 0.290 0.608 0.769 (multiplicity 1)
Ni1 0.339 0.360 0.466 (multiplicity 1)
Ni2 0.819 0.726 0.452 (multiplicity 1)
H1 0.663 0.325 0.256 (multiplicity 1)
H2 0.830 0.321 0.460 (multiplicity 1)
H3 0.908 0.160 0.579 (multiplicity 1)
Se1 0.275 0.656 0.216 (multiplicity 1)
Se2 0.434 0.038 0.675 (multiplicity 1)
O1 0.095 0.856 0.663 (multiplicity 1)
O2 0.146 0.820 0.324 (multiplicity 1)
O3 0.153 0.622 0.018 (multiplicity 1)
O4 0.169 0.394 0.246 (multiplicity 1)
O5 0.413 0.298 0.706 (multiplicity 1)
O6 0.516 0.679 0.566 (multiplicity 1)
O7 0.535 0.017 0.869 (multiplicity 1)
O8 0.609 0.775 0.243 (multiplicity 1)
O9 0.672 0.381 0.374 (multiplicity 1)
O10 0.982 0.300 0.545 (multiplicity 1)

Output
Energy above the lowest structure with this stoichiometry = 0.015 eV per atom
Uncorrected energy = -5.12 eV per atom

| no. | Fermi-level density of states (states/eV per cell) |
| --- | --- |
| 1 | 0.0 |
| 2 | 0.0 |
| 3 | 0.0 |